Computed, not measured: Ce2PmPrAs4 after structural relaxation at the PBE level of DFT.

Output
As for the total energy: -6.475 eV per atom. Its symmetry is P2/m, No. 10. The value obtained for the magnetic moment is 1.2 μB/f.u. The value obtained for the formation energy is -1476 meV/atom.

Unit cell a=4.243 b=7.350 c=7.351 alpha=70.54 beta=90.00 gamma=90.00
Site moments in Bohr magnetons follow the coordinates.
Atoms (fractional coordinates):
1 Ce 0.000 0.000 0.000  0.59
2 Ce 0.500 0.000 0.500  0.55
3 Pm 0.000 0.500 0.500  0.01
4 Pr 0.500 0.500 0.000  0.01
5 As 0.000 0.757 0.746  -0.02
6 As 0.000 0.243 0.254  -0.02
7 As 0.500 0.755 0.250  -0.02
8 As 0.500 0.245 0.750  -0.02

=====

Computed, not measured: Ce3Pm2PrAs6 after structural relaxation at the PBE level of DFT.

Output
As for the total energy: -6.476 eV per atom. Its symmetry is C2/m, No. 12. The value obtained for the magnetic moment is 1.9 μB/f.u. The value obtained for the formation energy is -1478 meV/atom.

Unit cell a=7.340 b=7.340 c=7.340 alpha=99.60 beta=99.60 gamma=120.00
Site moments in Bohr magnetons follow the coordinates.
Atoms (fractional coordinates):
1 Ce 0.166 0.834 0.500  0.57
2 Ce 0.834 0.166 0.500  0.57
3 Ce 0.500 0.500 0.500  0.57
4 Pm 0.333 0.667 0.000  0.01
5 Pm 0.667 0.333 0.000  0.01
6 Pr 0.000 0.000 0.000  0.01
7 As 0.915 0.579 0.744  -0.02
8 As 0.749 0.749 0.255  -0.02
9 As 0.085 0.421 0.256  -0.02
10 As 0.579 0.915 0.744  -0.02
11 As 0.251 0.251 0.745  -0.02
12 As 0.421 0.085 0.256  -0.02

=====

Computed, not measured: Ce2PmPr3As6 after structural relaxation at the PBE level of DFT.

Output
As for the total energy: -6.392 eV per atom. Its symmetry is C2/m, No. 12. The value obtained for the magnetic moment is 1.1 μB/f.u. The value obtained for the formation energy is -1488 meV/atom.

Unit cell a=7.383 b=7.383 c=7.389 alpha=99.59 beta=99.59 gamma=119.99
Site moments in Bohr magnetons follow the coordinates.
Atoms (fractional coordinates):
1 Ce 0.333 0.667 0.000  0.53
2 Ce 0.667 0.333 0.000  0.53
3 Pm 0.000 0.000 0.000  0.01
4 Pr 0.166 0.834 0.500  0.01
5 Pr 0.834 0.166 0.500  0.01
6 Pr 0.500 0.500 0.500  0.01
7 As 0.919 0.583 0.758  -0.01
8 As 0.745 0.745 0.243  -0.01
9 As 0.081 0.417 0.242  -0.01
10 As 0.583 0.919 0.758  -0.01
11 As 0.255 0.255 0.757  -0.01
12 As 0.417 0.081 0.242  -0.01